Here is a relaxed LaCuNiMo2 crystal from Alexandria. Energies are from PBE.

Structure (extended XYZ):
```
5
Lattice="-1.5846 3.5518 -2.3368 -0.2219 -2.9962 -4.4036 -4.2474 -1.2117 1.0385" Properties=species:S:1:pos:R:3 pbc="T T T"
Cu -3.0270 -0.3281 -2.8509
Mo -2.1237 -0.6059 0.5192
Mo -0.7923 1.7759 -1.1684
Ni 0.0000 0.0000 0.0000
La -0.1110 -1.4981 -2.2018
```

Output
For the polymorph energy (0 for the lowest one), the calculation gives 0 meV/atom. The calculation puts the energy of formation at 5.58 eV per formula unit. Its energy is -30.885 eV for the cell shown.